Material: VBi2CCl
Method: DFT, PBE
State: relaxed

Output
**Symmetry**: P4/mmm, No. 123
**V**: 21.4 Å³/atom
**Formation energy without anion corrections**: 1.380 eV per atom
**N(E_F)**: 7.80 states/eV per cell

```
data_VBi2CCl
_chemical_formula_sum 'V1 Bi2 C1 Cl1'
_cell_length_a 5.0086
_cell_length_b 4.2605
_cell_length_c 5.0086
_cell_angle_alpha 90.00
_cell_angle_beta 90.00
_cell_angle_gamma 90.00
_space_group_name_H-M_alt 'P 1'
_space_group_IT_number 1
loop_
_space_group_symop_operation_xyz
'x,y,z'
loop_
_atom_site_label
_atom_site_fract_x
_atom_site_fract_y
_atom_site_fract_z
Cl1 0.0000 0.5000 0.0000
Bi1 0.0000 0.0000 0.5000
V1 0.5000 0.5000 0.5000
Bi2 0.5000 0.0000 0.0000
C1 0.0000 0.0000 0.0000
```